(1)
A relaxed structure of SnPd3I, computed with PBE.

Cell lengths 5.0389, 5.0389, 5.0389 Å; angles 90.00, 90.00, 90.00 degrees
Space group Pm-3m (No. 221)
Asymmetric unit:
Sn (0.0000, 0.0000, 0.0000) [1 per cell]
Pd (0.0000, 0.0000, 0.5000) [3 per cell]
I (0.5000, 0.5000, 0.5000) [1 per cell]

Values from the calculation:
The value obtained for the uncorrected formation energy is 0.40 eV/atom. The total magnetization comes out at 0.0000 μB per atom. As for the distance to the lowest polymorph of the same formula: 0.000 eV per atom.


(2)
A relaxed structure of SnPdI3, computed with PBE.

Cell lengths 5.4933, 5.4933, 5.4933 Å; angles 90.00, 90.00, 90.00 degrees
Space group Pm-3m (No. 221)
Asymmetric unit:
Sn (0.0000, 0.0000, 0.0000) [1 per cell]
Pd (0.5000, 0.5000, 0.5000) [1 per cell]
I (0.0000, 0.5000, 0.5000) [3 per cell]

Values from the calculation:
The value obtained for the uncorrected formation energy is -0.02 eV/atom. The total magnetization comes out at 0.0001 μB per atom. As for the distance to the lowest polymorph of the same formula: 0.000 eV per atom.


(3)
A relaxed structure of SnPdI, computed with PBE.

Cell lengths 10.5587, 12.6661, 7.1805 Å; angles 90.00, 132.37, 90.00 degrees
Space group Cc (No. 9)
Asymmetric unit:
Sn (0.0000, 0.0312, 0.0000) [4 per cell]
Sn (0.3637, 0.2598, 0.8611) [4 per cell]
Pd (0.1281, 0.1380, 0.4332) [4 per cell]
Pd (0.1275, 0.1381, 0.8195) [4 per cell]
I (0.1266, 0.4477, 0.6318) [4 per cell]
I (0.3075, 0.2110, 0.3045) [4 per cell]

Values from the calculation:
The value obtained for the uncorrected formation energy is -0.29 eV/atom. The total magnetization comes out at 0.0000 μB per atom.